Computed, not measured: a relaxed Ca4Bi2Cl crystal at the PBE level of DFT.

Cell: 5.184 5.184 9.247 Å, 106.28 106.28 90.00°
Fractional positions:
Ca1 0.180 0.180 0.361
Ca2 0.500 0.000 0.000
Bi1 0.633 0.633 0.265
Bi2 0.367 0.367 0.735
Ca3 0.000 0.500 0.000
Cl1 0.000 0.000 0.000
Ca4 0.820 0.820 0.639

size of the total moment	0.000	Bohr magnetons per cell
crystal system	tetragonal
uncorrected formation energy	-0.96	eV/atom